(1)
Entry from the Alexandria database: a relaxed structure of TaNiPt (GGA-PBE).

Unit cell a=3.875 b=3.776 c=6.928 alpha=90.00 beta=90.00 gamma=90.00
Atoms (fractional coordinates):
1 Ta 0.000 0.500 0.250
2 Ta 0.000 0.500 0.750
3 Ni 0.000 0.000 0.000
4 Ni 0.000 0.000 0.500
5 Pt 0.500 0.000 0.250
6 Pt 0.500 0.000 0.750

Output
Crystal system: orthorhombic
Uncorrected energy in eV/atom: -7.88
Magnetization in μB/atom: 0.0000

***

(2)
Entry from the Alexandria database: a relaxed structure of Ta2Ni4Pt3 (GGA-PBE).

Unit cell a=4.644 b=4.711 c=8.453 alpha=56.91 beta=58.74 gamma=60.61
Atoms (fractional coordinates):
1 Ta 0.805 0.131 0.320
2 Ta 0.195 0.869 0.680
3 Ni 0.331 0.343 0.003
4 Ni 0.877 0.559 0.659
5 Ni 0.123 0.441 0.341
6 Ni 0.669 0.657 0.997
7 Pt 0.551 0.209 0.670
8 Pt 0.000 0.000 0.000
9 Pt 0.449 0.791 0.330

Output
Crystal system: triclinic
Uncorrected energy in eV/atom: -7.64
Magnetization in μB/atom: 0.0000

***

Q: magnetization of number 1 (TaNiPt)?
A: 0.0000 μB/atom

***

What did the second record say?
Entry from the Alexandria database: a relaxed structure of Ta2Ni4Pt3 (GGA-PBE).

Unit cell a=4.644 b=4.711 c=8.453 alpha=56.91 beta=58.74 gamma=60.61
Atoms (fractional coordinates):
1 Ta 0.805 0.131 0.320
2 Ta 0.195 0.869 0.680
3 Ni 0.331 0.343 0.003
4 Ni 0.877 0.559 0.659
5 Ni 0.123 0.441 0.341
6 Ni 0.669 0.657 0.997
7 Pt 0.551 0.209 0.670
8 Pt 0.000 0.000 0.000
9 Pt 0.449 0.791 0.330

Output
Crystal system: triclinic
Uncorrected energy in eV/atom: -7.64
Magnetization in μB/atom: 0.0000